This record from Alexandria describes an optimized crystal structure of MnZnF6. The functional is PBE+U.

extended XYZ file:
```
8
Lattice="2.5391 1.4659 4.4985 -2.5391 1.4659 4.4985 0.0000 -2.9319 4.4985" Properties=species:S:1:pos:R:3 pbc="T T T"
Mn 0.0000 0.0000 0.0000
Zn 0.0000 0.0000 6.7477
F -1.6527 0.2442 5.5675
F -1.0378 -1.3092 7.9279
F 0.6149 -1.5534 5.5675
F -0.6149 1.5534 7.9279
F 1.0378 1.3092 5.5675
F 1.6527 -0.2442 7.9279
```

- size of the total moment (μB/f.u.) = 3.00
- electronic total energy (eV/atom) = -4.719
- space-group type = No. 148